VASP calculation (PBE-GGA) on V4Re2N after structural relaxation.

Computed properties:
**ρ**: 10.31 Mg/m³
**Final energy**: -9.94 eV per atom
**Energy relative to the elements, uncorrected**: 20.5 meV per atom
**N(E_F)**: 7.5 states/eV/cell

The structure in POSCAR format:
```
V4Re2N
1.0
3.851 0.000 0.000
0.000 3.851 0.000
1.925 1.925 6.410
Re N V
2 1 4
Direct
0.355 0.355 0.290
0.645 0.645 0.710
0.000 0.000 0.000
0.167 0.167 0.667
0.833 0.833 0.333
0.000 0.500 0.000
0.500 0.000 0.000
```

---

VASP calculation (PBE-GGA) on Li2MoAs after structural relaxation.

Computed properties:
**ρ**: 5.09 Mg/m³
**Final energy**: -4.78 eV per atom
**N(E_F)**: 2.5 states/eV/cell

The structure in POSCAR format:
```
Li2MoAs
1.0
5.256 -0.008 0.000
2.766 4.470 0.000
-4.011 -2.231 2.562
As Li Mo
1 2 1
Direct
0.750 0.250 0.500
0.000 0.000 0.000
0.500 0.500 0.000
0.250 0.750 0.500
```

---

VASP calculation (PBE-GGA) on Sr2SnAu3 after structural relaxation.

Computed properties:
**ρ**: 9.09 Mg/m³
**Final energy**: -3.58 eV per atom
**N(E_F)**: 3.0 states/eV/cell

The structure in POSCAR format:
```
Sr2SnAu3
1.0
3.965 0.000 0.000
0.000 4.873 0.000
0.000 0.000 8.361
Sr Sn Au
2 1 3
Direct
0.000 0.500 0.981
0.000 0.000 0.519
0.500 0.500 0.324
0.500 0.000 0.838
0.500 0.000 0.177
0.500 0.500 0.660
```

---

VASP calculation (PBE-GGA) on NdY2ScAs4 after structural relaxation.

Computed properties:
**ρ**: 5.64 Mg/m³
**Final energy**: -6.79 eV per atom
**N(E_F)**: 0.8 states/eV/cell

The structure in POSCAR format:
```
NdY2ScAs4
1.0
-0.911 -3.265 -2.331
-1.553 -3.738 5.843
-5.860 3.301 -2.332
Nd Y Sc As
1 2 1 4
Direct
0.500 0.500 0.000
0.500 0.000 0.500
0.000 0.500 0.500
0.000 0.000 0.000
0.500 0.237 0.243
0.500 0.763 0.757
0.000 0.239 0.749
0.000 0.761 0.251
```

---

VASP calculation (PBE-GGA) on Pm2DyCd3 after structural relaxation.

Computed properties:
**ρ**: 7.95 Mg/m³
**Final energy**: -3.13 eV per atom
**N(E_F)**: 13.4 states/eV/cell

The structure in POSCAR format:
```
Pm2DyCd3
1.0
5.376 0.000 0.000
-2.688 4.656 0.000
0.000 0.000 13.183
Pm Dy Cd
4 2 6
Direct
0.000 0.000 0.500
0.333 0.667 0.169
0.667 0.333 0.831
0.000 0.000 0.000
0.333 0.667 0.667
0.667 0.333 0.333
0.333 0.667 0.418
0.667 0.333 0.085
0.000 0.000 0.747
0.000 0.000 0.253
0.333 0.667 0.915
0.667 0.333 0.582
```

---

VASP calculation (PBE-GGA) on CeAg2S4 after structural relaxation.

Computed properties:
**ρ**: 5.43 Mg/m³
**Final energy**: -4.67 eV per atom
**Energy relative to the elements, uncorrected**: -651.1 meV per atom
**N(E_F)**: 8.7 states/eV/cell

The structure in POSCAR format:
```
CeAg2S4
1.0
3.974 0.000 0.000
-1.987 6.354 0.000
0.000 0.000 11.717
Ce Ag S
2 4 8
Direct
0.603 0.207 0.750
0.397 0.793 0.250
0.131 0.262 0.437
0.869 0.738 0.937
0.131 0.262 0.063
0.869 0.738 0.563
0.788 0.576 0.127
0.788 0.576 0.373
0.212 0.424 0.873
0.212 0.424 0.627
0.954 0.907 0.750
0.046 0.093 0.250
0.500 0.000 0.000
0.500 0.000 0.500
```

---

VASP calculation (PBE-GGA) on Co2TcTe after structural relaxation.

Computed properties:
**ρ**: 9.93 Mg/m³
**Final energy**: -6.57 eV per atom
**Energy relative to the elements, uncorrected**: 364.6 meV per atom
**N(E_F)**: 5.1 states/eV/cell

The structure in POSCAR format:
```
Co2TcTe
1.0
-0.835 -3.153 -2.984
2.120 -2.400 -3.048
1.027 -3.822 2.415
Co Tc Te
2 1 1
Direct
0.006 0.006 0.975
0.750 0.750 0.756
0.490 0.490 0.552
0.254 0.254 0.217
```

---

VASP calculation (PBE-GGA) on K2YPb after structural relaxation.

Computed properties:
**ρ**: 3.99 Mg/m³
**Final energy**: -2.83 eV per atom
**N(E_F)**: 3.8 states/eV/cell

The structure in POSCAR format:
```
K2YPb
1.0
13.689 0.036 0.021
13.194 3.648 0.021
13.194 1.808 3.168
K Pb Y
2 1 1
Direct
0.994 0.994 0.994
0.506 0.506 0.506
0.250 0.250 0.250
0.750 0.750 0.750
```